# 1
Rh3Cl PBE optimized geometry; excess energy over the best structure of this formula in the dataset = 390 meV per atom; D(E_F) = 6.69 states/eV per cell
1.0
4.481 -0.155 0.000
0.618 4.441 0.000
-2.549 -2.143 3.002
Cl Rh
1 3
direct
0.000 0.000 0.000
0.500 0.500 0.000
0.750 0.250 0.500
0.250 0.750 0.500

---

# 2
RhCl PBE optimized geometry; D(E_F) = 7.41 states/eV per cell
1.0
1.662 6.820 -0.070
-1.662 6.820 -0.070
0.000 3.538 6.070
Cl Rh
3 3
direct
0.299 0.299 0.208
0.414 0.414 0.585
0.623 0.623 0.782
0.083 0.083 0.038
0.702 0.702 0.136
0.046 0.046 0.417

---

# 3
Rh3Cl PBE optimized geometry; excess energy over the best structure of this formula in the dataset = 299 meV per atom; D(E_F) = 6.86 states/eV per cell
1.0
4.643 0.142 0.000
-0.738 4.586 0.000
0.000 0.000 2.791
Rh Cl
3 1
direct
0.500 0.000 0.500
0.000 0.500 0.500
0.500 0.500 0.000
0.000 0.000 0.000

---

# 4
Rh3Cl PBE optimized geometry; excess energy over the best structure of this formula in the dataset = 131 meV per atom; D(E_F) = 6.04 states/eV per cell
1.0
2.829 -0.003 0.000
-1.483 2.409 0.000
0.000 0.000 8.812
Cl Rh
1 3
direct
0.000 0.000 0.000
0.500 0.500 0.242
0.500 0.500 0.758
0.000 0.000 0.500

---

# 5
RhCl PBE optimized geometry; D(E_F) = 2.31 states/eV per cell
1.0
-0.687 -2.921 -0.781
2.595 -0.161 -1.689
0.922 0.299 4.243
Cl Rh
1 1
direct
0.741 0.361 0.946
0.990 0.111 0.446

---

# 6
Rh4Cl PBE optimized geometry; excess energy over the best structure of this formula in the dataset = 0 meV per atom; D(E_F) = 7.65 states/eV per cell
1.0
1.071 -4.515 -0.880
2.225 1.411 3.921
-4.666 0.423 0.599
Rh Cl
4 1
direct
0.500 0.500 0.500
0.000 0.000 0.500
0.500 0.000 0.000
0.000 0.500 0.000
0.000 0.000 0.000

---

# 7
Rh3Cl PBE optimized geometry; excess energy over the best structure of this formula in the dataset = 273 meV per atom; D(E_F) = 6.17 states/eV per cell
1.0
-2.662 -0.878 -0.079
1.156 -3.701 2.207
-0.854 2.215 4.162
Rh Cl
3 1
direct
0.500 0.500 0.874
0.500 0.000 0.483
0.000 0.500 0.377
0.000 0.000 0.933

---

# 8
RhCl PBE optimized geometry; D(E_F) = 5.48 states/eV per cell
1.0
-2.749 -1.302 -2.197
1.924 -1.507 -1.514
1.970 -8.247 2.424
Rh Cl
2 2
direct
0.250 0.851 0.098
0.750 0.149 0.902
0.250 0.455 0.701
0.750 0.545 0.299

---

# 9
Rh2Cl PBE optimized geometry; excess energy over the best structure of this formula in the dataset = 147 meV per atom; D(E_F) = 6.58 states/eV per cell
1.0
-3.491 0.962 -1.080
0.621 -3.361 1.610
-1.361 3.235 7.278
Cl Rh
2 4
direct
0.000 0.000 0.750
0.000 0.000 0.250
0.667 0.333 0.421
0.333 0.667 0.579
0.333 0.667 0.921
0.667 0.333 0.079

---

# 10
RhCl PBE optimized geometry; D(E_F) = 10.76 states/eV per cell
1.0
-1.738 -9.018 2.856
-1.495 -2.606 -9.136
3.560 -0.799 -0.355
Cl Rh
8 8
direct
0.491 0.246 0.000
0.754 0.491 0.000
0.746 0.009 0.500
0.246 0.509 0.000
0.509 0.754 0.000
0.009 0.254 0.500
0.991 0.746 0.500
0.254 0.991 0.500
0.657 0.230 0.500
0.270 0.157 0.000
0.770 0.657 0.500
0.157 0.730 0.000
0.730 0.843 0.000
0.343 0.770 0.500
0.843 0.270 0.000
0.230 0.343 0.500

---

# 11
RhCl PBE optimized geometry; D(E_F) = 21.40 states/eV per cell
1.0
7.618 0.000 0.000
0.000 7.618 0.000
0.000 0.000 7.618
Cl Rh
8 8
direct
0.798 0.202 0.798
0.202 0.798 0.798
0.298 0.702 0.298
0.702 0.298 0.298
0.798 0.798 0.202
0.202 0.202 0.202
0.298 0.298 0.702
0.702 0.702 0.702
0.120 0.120 0.880
0.880 0.880 0.880
0.120 0.880 0.120
0.380 0.380 0.380
0.880 0.120 0.120
0.620 0.380 0.620
0.620 0.620 0.380
0.380 0.620 0.620

---

# 12
RhCl PBE optimized geometry; D(E_F) = 1.77 states/eV per cell
1.0
3.497 -0.001 -0.003
0.719 3.685 -0.002
-2.058 1.085 2.611
Rh Cl
1 1
direct
0.496 0.315 0.061
0.747 0.815 0.810

---

# 13
Rh2Cl PBE optimized geometry; excess energy over the best structure of this formula in the dataset = 479 meV per atom; D(E_F) = 8.91 states/eV per cell
1.0
2.029 -3.515 0.000
2.029 3.515 0.000
0.000 0.000 6.496
Rh Cl
4 2
direct
0.333 0.667 0.750
0.000 0.000 0.500
0.000 0.000 0.000
0.667 0.333 0.250
0.667 0.333 0.750
0.333 0.667 0.250

---

# 14
RhCl PBE optimized geometry; D(E_F) = 2.07 states/eV per cell
1.0
4.527 0.000 0.000
0.000 2.964 0.000
0.000 1.482 2.567
Cl Rh
1 1
direct
0.514 0.326 0.370
0.014 0.325 0.371

---

# 15
RhCl2 PBE optimized geometry; D(E_F) = 6.73 states/eV per cell
1.0
-2.703 -3.082 -2.425
-0.042 -0.029 4.763
-2.255 1.984 -0.008
Rh Cl
1 2
direct
0.000 0.000 0.000
0.333 0.667 0.500
0.667 0.333 0.500

---

# 16
RhCl PBE optimized geometry; D(E_F) = 8.71 states/eV per cell
1.0
7.695 0.000 0.000
0.000 4.646 0.000
0.000 0.000 9.132
Cl Rh
8 8
direct
0.248 0.036 0.820
0.133 0.474 0.073
0.633 0.026 0.927
0.752 0.536 0.680
0.748 0.464 0.180
0.252 0.964 0.320
0.867 0.974 0.427
0.367 0.526 0.573
0.118 0.805 0.542
0.976 0.793 0.806
0.024 0.293 0.694
0.382 0.195 0.042
0.476 0.707 0.194
0.618 0.695 0.458
0.882 0.305 0.958
0.524 0.207 0.306

---

# 17
Rh3Cl PBE optimized geometry; excess energy over the best structure of this formula in the dataset = 218 meV per atom; D(E_F) = 4.53 states/eV per cell
1.0
4.525 -0.004 -0.001
3.644 2.682 -0.001
1.127 0.369 4.942
Rh Cl
3 1
direct
0.743 0.743 0.742
0.500 0.500 0.500
0.257 0.257 0.258
0.000 0.000 0.000

---

# 18
A relaxed RhCl2 crystal, computed with PBE.

The structure in POSCAR format:
```
RhCl2
1.0
-2.151 -4.544 -4.759
-0.258 -6.406 -2.611
-5.468 -2.399 2.740
Cl Rh
4 2
direct
0.564 0.564 0.478
0.269 0.269 0.513
0.101 0.101 0.978
0.347 0.347 0.953
0.728 0.728 0.952
0.158 0.158 0.292
```

---

# 19
RhCl PBE optimized geometry; D(E_F) = 2.29 states/eV per cell
1.0
-0.953 -1.929 -2.020
1.902 -1.359 4.723
-2.409 -0.664 1.781
Rh Cl
1 1
direct
0.974 0.287 0.704
0.529 0.843 0.427

---

# 20
Rh3Cl PBE optimized geometry; excess energy over the best structure of this formula in the dataset = 76 meV per atom; D(E_F) = 7.12 states/eV per cell
1.0
-2.243 -0.927 1.521
1.762 -1.513 1.676
0.670 5.770 4.503
Rh Cl
3 1
direct
0.000 0.000 0.500
0.500 0.500 0.739
0.500 0.500 0.261
0.000 0.000 0.000

---

| no. | volume (Å³ per atom) | raw total energy (eV per cell) | formation energy from raw total energies (eV/atom) |
| --- | --- | --- | --- |
| 1 | 15.0 | -21.2 | 0.6747 |
| 2 | 23.1 | -27.0 | 0.1029 |
| 3 | 14.9 | -21.6 | 0.5834 |
| 4 | 15.0 | -22.2 | 0.4151 |
| 5 | 18.1 | -8.4 | 0.4105 |
| 6 | 16.2 | -26.8 | 0.8860 |
| 7 | 15.0 | -21.7 | 0.5577 |
| 8 | 20.7 | -17.7 | 0.1685 |
| 9 | 16.6 | -30.9 | 0.3680 |
| 10 | 21.2 | -70.8 | 0.1738 |
| 11 | 27.6 | -68.2 | 0.3380 |
| 12 | 16.8 | -8.3 | 0.4428 |
| 13 | 15.4 | -28.9 | 0.7003 |
| 14 | 17.2 | -8.6 | 0.2991 |
| 15 | 19.7 | -8.1 | 0.9762 |
| 16 | 20.4 | -72.4 | 0.0743 |
| 17 | 15.0 | -21.9 | 0.5029 |
| 18 | 24.5 | -23.8 | -0.2836 |
| 19 | 18.5 | -8.6 | 0.3172 |
| 20 | 15.1 | -22.5 | 0.3600 |